[1]
{
  "formula": "Sc4Pb",
  "functional": "PBE",
  "state": "optimized geometry",
  "lattice": [[4.1025, 0.0000, 0.0000], [0.0000, 4.1025, 0.0000], [0.0000, 0.0000, 15.4792]],
  "species": ["Sc", "Sc", "Sc", "Sc", "Sc", "Sc", "Sc", "Sc", "Pb", "Pb"],
  "frac_coords": [[0.0000, 0.0000, 0.0895], [0.0000, 0.0000, 0.9105], [0.0000, 0.5000, 0.2500], [0.0000, 0.5000, 0.7500], [0.5000, 0.0000, 0.2500], [0.5000, 0.0000, 0.7500], [0.5000, 0.5000, 0.4105], [0.5000, 0.5000, 0.5895], [0.0000, 0.0000, 0.5000], [0.5000, 0.5000, 0.0000]],
  "magmom_total_mub_per_cell": 0.00,
  "de_polymorph_ev_per_atom": 0.438,
  "n_ef_per_ev_cell": 14.3,
  "formation_enthalpy_0k_ev_per_atom": 0.25,
  "space_group": "I4/mmm, No. 139"
}



[2]
{
  "formula": "ScPb5",
  "functional": "PBE",
  "state": "optimized geometry",
  "lattice": [[0.0000, 4.5552, 4.5552], [4.5552, 0.0000, 4.5552], [4.5552, 4.5552, 0.0000]],
  "species": ["Sc", "Pb", "Pb", "Pb", "Pb", "Pb"],
  "frac_coords": [[0.0000, 0.0000, 0.0000], [0.3746, 0.3746, 0.3746], [0.3746, 0.3746, 0.8761], [0.3746, 0.8761, 0.3746], [0.7500, 0.7500, 0.7500], [0.8761, 0.3746, 0.3746]],
  "magmom_total_mub_per_cell": 0.01,
  "de_polymorph_ev_per_atom": 0.225,
  "n_ef_per_ev_cell": 7.1,
  "formation_enthalpy_0k_ev_per_atom": 0.17,
  "space_group": "F-43m, No. 216"
}



[3]
{
  "formula": "ScPb2",
  "functional": "PBE",
  "state": "optimized geometry",
  "lattice": [[7.2735, 0.0000, 0.0000], [0.0000, 7.2735, 0.0000], [0.0000, 0.0000, 6.5561]],
  "species": ["Sc", "Sc", "Sc", "Sc", "Pb", "Pb", "Pb", "Pb", "Pb", "Pb", "Pb", "Pb"],
  "frac_coords": [[0.0000, 0.0000, 0.2500], [0.0000, 0.0000, 0.7500], [0.5000, 0.5000, 0.2500], [0.5000, 0.5000, 0.7500], [0.2010, 0.2990, 0.0000], [0.2010, 0.7010, 0.5000], [0.2990, 0.2010, 0.5000], [0.2990, 0.7990, 0.0000], [0.7010, 0.2010, 0.0000], [0.7010, 0.7990, 0.5000], [0.7990, 0.2990, 0.5000], [0.7990, 0.7010, 0.0000]],
  "magmom_total_mub_per_cell": 0.00,
  "n_ef_per_ev_cell": 8.4,
  "formation_enthalpy_0k_ev_per_atom": -0.19,
  "space_group": "I4/mcm, No. 140"
}



[4]
{
  "formula": "Sc5Pb4",
  "functional": "PBE",
  "state": "optimized geometry",
  "lattice": [[-6.1313, 6.1313, 1.7729], [6.1313, -6.1313, 1.7729], [6.1313, 6.1313, -1.7729]],
  "species": ["Sc", "Sc", "Sc", "Sc", "Sc", "Pb", "Pb", "Pb", "Pb"],
  "frac_coords": [[0.0000, 0.0000, 0.0000], [0.2810, 0.6221, 0.9030], [0.3779, 0.2810, 0.6589], [0.6221, 0.7190, 0.3411], [0.7190, 0.3779, 0.0970], [0.0698, 0.7465, 0.8163], [0.2535, 0.0698, 0.3232], [0.7465, 0.9302, 0.6768], [0.9302, 0.2535, 0.1837]],
  "magmom_total_mub_per_cell": 0.00,
  "de_polymorph_ev_per_atom": 0.206,
  "n_ef_per_ev_cell": 5.8,
  "formation_enthalpy_0k_ev_per_atom": -0.20,
  "space_group": "I4/m, No. 87"
}



[5]
{
  "formula": "ScPb2",
  "functional": "PBE",
  "state": "optimized geometry",
  "lattice": [[8.1868, 0.0000, 0.0000], [-4.0934, 7.0900, 0.0000], [0.0000, 0.0000, 4.2793]],
  "species": ["Sc", "Sc", "Sc", "Pb", "Pb", "Pb", "Pb", "Pb", "Pb"],
  "frac_coords": [[0.0000, 0.0000, 0.0000], [0.3333, 0.6667, 0.5000], [0.6667, 0.3333, 0.5000], [0.0000, 0.2655, 0.5000], [0.0000, 0.6032, 0.0000], [0.2655, 0.0000, 0.5000], [0.3968, 0.3968, 0.0000], [0.6032, 0.0000, 0.0000], [0.7345, 0.7345, 0.5000]],
  "magmom_total_mub_per_cell": 0.00,
  "n_ef_per_ev_cell": 9.3,
  "formation_enthalpy_0k_ev_per_atom": -0.04,
  "space_group": "P-62m, No. 189"
}



[6]
{
  "formula": "Sc5Pb4",
  "functional": "PBE",
  "state": "optimized geometry",
  "lattice": [[8.9786, 0.0000, 0.0000], [-4.4893, 7.7757, 0.0000], [0.0000, 0.0000, 6.2952]],
  "species": ["Sc", "Sc", "Sc", "Sc", "Sc", "Sc", "Sc", "Sc", "Sc", "Sc", "Pb", "Pb", "Pb", "Pb", "Pb", "Pb", "Pb", "Pb"],
  "frac_coords": [[0.0000, 0.2742, 0.2500], [0.0000, 0.7258, 0.7500], [0.2742, 0.0000, 0.2500], [0.2742, 0.2742, 0.7500], [0.3333, 0.6667, 0.0000], [0.3333, 0.6667, 0.5000], [0.6667, 0.3333, 0.0000], [0.6667, 0.3333, 0.5000], [0.7258, 0.0000, 0.7500], [0.7258, 0.7258, 0.2500], [0.0000, 0.0000, 0.0000], [0.0000, 0.0000, 0.5000], [0.0000, 0.3877, 0.7500], [0.0000, 0.6123, 0.2500], [0.3877, 0.0000, 0.7500], [0.3877, 0.3877, 0.2500], [0.6123, 0.0000, 0.2500], [0.6123, 0.6123, 0.7500]],
  "magmom_total_mub_per_cell": 0.00,
  "de_polymorph_ev_per_atom": 0.000,
  "n_ef_per_ev_cell": 19.1,
  "formation_enthalpy_0k_ev_per_atom": -0.41,
  "space_group": "P6_3/mcm, No. 193"
}



[7]
{
  "formula": "Sc2Pb",
  "functional": "PBE",
  "state": "optimized geometry",
  "lattice": [[6.9202, 0.0000, 0.0000], [0.0000, 6.9202, 0.0000], [0.0000, 0.0000, 6.9202]],
  "species": ["Sc", "Sc", "Sc", "Sc", "Sc", "Sc", "Sc", "Sc", "Pb", "Pb", "Pb", "Pb"],
  "frac_coords": [[0.2500, 0.2500, 0.2500], [0.2500, 0.2500, 0.7500], [0.2500, 0.7500, 0.2500], [0.2500, 0.7500, 0.7500], [0.7500, 0.2500, 0.2500], [0.7500, 0.2500, 0.7500], [0.7500, 0.7500, 0.2500], [0.7500, 0.7500, 0.7500], [0.0000, 0.0000, 0.0000], [0.0000, 0.5000, 0.5000], [0.5000, 0.0000, 0.5000], [0.5000, 0.5000, 0.0000]],
  "magmom_total_mub_per_cell": 4.10,
  "n_ef_per_ev_cell": 14.0,
  "formation_enthalpy_0k_ev_per_atom": -0.14,
  "space_group": "Fm-3m, No. 225"
}



[8]
{
  "formula": "Sc2Pb",
  "functional": "PBE",
  "state": "optimized geometry",
  "lattice": [[3.2910, 0.0000, 0.0000], [0.0000, 4.5476, 0.0000], [0.0000, 0.0000, 21.1180]],
  "species": ["Sc", "Sc", "Sc", "Sc", "Sc", "Sc", "Sc", "Sc", "Pb", "Pb", "Pb", "Pb"],
  "frac_coords": [[0.0000, 0.2500, 0.0447], [0.0000, 0.2500, 0.1869], [0.0000, 0.7500, 0.8131], [0.0000, 0.7500, 0.9553], [0.5000, 0.2500, 0.3131], [0.5000, 0.2500, 0.4553], [0.5000, 0.7500, 0.5447], [0.5000, 0.7500, 0.6869], [0.0000, 0.2500, 0.6076], [0.0000, 0.7500, 0.3924], [0.5000, 0.2500, 0.8924], [0.5000, 0.7500, 0.1076]],
  "magmom_total_mub_per_cell": 2.49,
  "n_ef_per_ev_cell": 14.9,
  "formation_enthalpy_0k_ev_per_atom": 0.02,
  "space_group": "Imma, No. 74"
}



[9]
{
  "formula": "ScPb8",
  "functional": "PBE",
  "state": "optimized geometry",
  "lattice": [[-5.3324, 5.3324, 2.3778], [5.3324, -5.3324, 2.3778], [5.3324, 5.3324, -2.3778]],
  "species": ["Sc", "Pb", "Pb", "Pb", "Pb", "Pb", "Pb", "Pb", "Pb"],
  "frac_coords": [[0.0000, 0.0000, 0.0000], [0.0000, 0.3238, 0.3238], [0.0000, 0.6762, 0.6762], [0.3238, 0.0000, 0.3238], [0.3425, 0.3425, 0.6851], [0.3425, 0.6575, 0.0000], [0.6575, 0.3425, 0.0000], [0.6575, 0.6575, 0.3149], [0.6762, 0.0000, 0.6762]],
  "magmom_total_mub_per_cell": 0.00,
  "n_ef_per_ev_cell": 5.5,
  "formation_enthalpy_0k_ev_per_atom": -0.03,
  "space_group": "I4/mmm, No. 139"
}



[10]
{
  "formula": "Sc2Pb",
  "functional": "PBE",
  "state": "optimized geometry",
  "lattice": [[5.1175, 0.0000, 0.0000], [-2.5587, 4.4319, 0.0000], [0.0000, 0.0000, 6.2594]],
  "species": ["Sc", "Sc", "Sc", "Sc", "Pb", "Pb"],
  "frac_coords": [[0.0000, 0.0000, 0.0000], [0.0000, 0.0000, 0.5000], [0.3333, 0.6667, 0.2500], [0.6667, 0.3333, 0.7500], [0.3333, 0.6667, 0.7500], [0.6667, 0.3333, 0.2500]],
  "magmom_total_mub_per_cell": 2.70,
  "n_ef_per_ev_cell": 5.9,
  "formation_enthalpy_0k_ev_per_atom": -0.36,
  "space_group": "P6_3/mmc, No. 194"
}



[11]
{
  "formula": "Sc2Pb",
  "functional": "PBE",
  "state": "optimized geometry",
  "lattice": [[-2.2044, 2.2044, 14.8342], [2.2044, -2.2044, 14.8342], [2.2044, 2.2044, -14.8342]],
  "species": ["Sc", "Sc", "Sc", "Sc", "Sc", "Sc", "Sc", "Sc", "Pb", "Pb", "Pb", "Pb"],
  "frac_coords": [[0.0387, 0.7887, 0.2500], [0.1235, 0.3735, 0.7500], [0.2113, 0.9613, 0.2500], [0.3735, 0.1235, 0.2500], [0.6265, 0.8765, 0.7500], [0.7887, 0.0387, 0.7500], [0.8765, 0.6265, 0.2500], [0.9613, 0.2113, 0.7500], [0.2997, 0.5497, 0.7500], [0.4503, 0.7003, 0.7500], [0.5497, 0.2997, 0.2500], [0.7003, 0.4503, 0.2500]],
  "magmom_total_mub_per_cell": 2.93,
  "n_ef_per_ev_cell": 13.6,
  "formation_enthalpy_0k_ev_per_atom": -0.32,
  "space_group": "I4_1/amd, No. 141"
}



[12]
{
  "formula": "Sc4Pb",
  "functional": "PBE",
  "state": "optimized geometry",
  "lattice": [[7.3730, 0.0000, 0.0000], [0.0000, 7.3730, 0.0000], [0.0000, 0.0000, 4.3822]],
  "species": ["Sc", "Sc", "Sc", "Sc", "Sc", "Sc", "Sc", "Sc", "Pb", "Pb"],
  "frac_coords": [[0.1093, 0.3055, 0.0000], [0.1945, 0.6093, 0.5000], [0.3055, 0.8907, 0.0000], [0.3907, 0.1945, 0.5000], [0.6093, 0.8055, 0.5000], [0.6945, 0.1093, 0.0000], [0.8055, 0.3907, 0.5000], [0.8907, 0.6945, 0.0000], [0.0000, 0.0000, 0.5000], [0.5000, 0.5000, 0.0000]],
  "magmom_total_mub_per_cell": 2.29,
  "de_polymorph_ev_per_atom": 0.000,
  "n_ef_per_ev_cell": 15.6,
  "formation_enthalpy_0k_ev_per_atom": -0.19,
  "space_group": "I4/m, No. 87"
}